# PBE BaCa2Zr, relaxed
# E above lowest polymorph (meV/atom): 146.1
# Formation energy from the elements (meV/atom): 472
data_BaCa2Zr
_space_group_name_H-M_alt 'P 1'
_space_group_IT_number 1
_cell_length_a 6.640
_cell_length_b 6.640
_cell_length_c 3.617
_cell_angle_alpha 90.00
_cell_angle_beta 90.00
_cell_angle_gamma 110.82
loop_
_space_group_symop_operation_xyz
'x,y,z'
loop_
_atom_site_label
_atom_site_type_symbol
_atom_site_fract_x
_atom_site_fract_y
_atom_site_fract_z
_atom_site_occupancy
Ba1 Ba 0.000 0.000 0.000 1
Ca1 Ca 0.000 0.500 0.500 1
Ca2 Ca 0.500 0.000 0.500 1
Zr1 Zr 0.500 0.500 0.000 1